## Zn2AgAsF (meta-GGA SCAN)

Data for a crystal of Zn2AgAsF relaxed with PBEsol.

Calculated values
- crystal system = tetragonal
- energy (eV per atom) = -16.263
- uncorrected formation energy (eV/atom) = 0.163

```
data_Zn2AgAsF
_space_group_name_H-M_alt 'P 4/m m m'
_space_group_IT_number 123
_space_group_name_Hall '-P 4 2'
_cell_length_a 4.8946
_cell_length_b 4.8946
_cell_length_c 4.0120
_cell_angle_alpha 90.00
_cell_angle_beta 90.00
_cell_angle_gamma 90.00
loop_
_atom_site_label
_atom_site_fract_x
_atom_site_fract_y
_atom_site_fract_z
_atom_site_occupancy
Zn1 0.0000 0.5000 0.0000 1
Ag1 0.0000 0.0000 0.0000 1
As1 0.5000 0.5000 0.5000 1
F1 0.0000 0.0000 0.5000 1
```

=====

## CrRe2As (meta-GGA SCAN)

Data for a crystal of CrRe2As relaxed with PBEsol.

Calculated values
- crystal system = monoclinic
- formation enthalpy at 0 K (kcal/mol of atoms) = 4.9
- energy (eV per atom) = -44.981

```
data_CrRe2As
_space_group_name_H-M_alt 'C 1 2/m 1'
_space_group_IT_number 12
_cell_length_a 8.8637
_cell_length_b 2.8532
_cell_length_c 4.5201
_cell_angle_alpha 90.00
_cell_angle_beta 98.52
_cell_angle_gamma 90.00
loop_
_space_group_symop_operation_xyz
'x,y,z'
'-x,-y,-z'
'-x,y,-z'
'x,-y,z'
'x+1/2,y+1/2,z'
'-x+1/2,-y+1/2,-z'
'-x+1/2,y+1/2,-z'
'x+1/2,-y+1/2,z'
loop_
_atom_site_label
_atom_site_fract_x
_atom_site_fract_y
_atom_site_fract_z
_atom_site_occupancy
Cr1 0.0000 0.0000 0.0000 1
Re1 0.2313 0.5000 0.2334 1
As1 0.0000 0.5000 0.5000 1
```

=====

## TlAgSbI2 (meta-GGA SCAN)

Data for a crystal of TlAgSbI2 relaxed with PBEsol.

Calculated values
- crystal system = tetragonal
- energy (eV per atom) = -42.297
- uncorrected formation energy (eV/atom) = 0.597

```
data_TlAgSbI2
_space_group_name_H-M_alt 'P 4/m m m'
_space_group_IT_number 123
_space_group_name_Hall '-P 4 2'
_cell_length_a 5.9992
_cell_length_b 5.9992
_cell_length_c 5.6838
_cell_angle_alpha 90.00
_cell_angle_beta 90.00
_cell_angle_gamma 90.00
loop_
_atom_site_label
_atom_site_fract_x
_atom_site_fract_y
_atom_site_fract_z
_atom_site_occupancy
Tl1 0.0000 0.0000 0.0000 1
Ag1 0.5000 0.5000 0.5000 1
Sb1 0.0000 0.0000 0.5000 1
I1 0.0000 0.5000 0.0000 1
```